[1]
VASP calculation (PBE-GGA) on a relaxed structure of LiVZn.

N(E_F): 5.50 states/eV/cell
V: 138.1 Å³ per cell
Total moment: 3.8 μB/f.u.
Energy of formation from the pure elements: 1153 meV/atom
ΔE to the lowest computed polymorph: 1146.1 meV per atom

Unit cell a=3.9529 b=3.9529 c=10.2034 alpha=90.00 beta=90.00 gamma=120.00
With the nearest neighbours (Å) after each atom.
Space group P6_3/mmc (No. 194)
One atom of each set of equivalent atoms:
Li  0.3333  0.6667  0.2500 (multiplicity 2)  3 Zn 2.28
V  0.0000  0.0000  0.0000 (multiplicity 2)  2 Zn 2.55
Zn  0.0000  0.0000  0.2500 (multiplicity 2)  3 Li 2.28, 2 V 2.55

=====

[2]
VASP calculation (PBE-GGA) on a relaxed structure of NaCd3Fe.

N(E_F): 4.55 states/eV/cell
V: 132.7 Å³ per cell
Total moment: 2.0 μB/f.u.
Energy of formation from the pure elements: 326 meV/atom
ΔE to the lowest computed polymorph: 0.0 meV per atom

Unit cell a=5.1010 b=5.1010 c=5.1010 alpha=90.00 beta=90.00 gamma=90.00
With the nearest neighbours (Å) after each atom.
Space group Pm-3m (No. 221)
One atom of each set of equivalent atoms:
Na  0.0000  0.0000  0.0000 (multiplicity 1)  12 Cd 3.61
Cd  0.0000  0.5000  0.5000 (multiplicity 3)  2 Fe 2.55
Fe  0.5000  0.5000  0.5000 (multiplicity 1)  6 Cd 2.55

=====

[3]
VASP calculation (PBE-GGA) on a relaxed structure of BaCa2Zr.

N(E_F): 5.72 states/eV/cell
V: 151.4 Å³ per cell
Total moment: 0.0 μB/f.u.
Energy of formation from the pure elements: 353 meV/atom
ΔE to the lowest computed polymorph: 27.3 meV per atom

Unit cell a=3.6899 b=3.6899 c=11.1174 alpha=90.00 beta=90.00 gamma=90.00
With the nearest neighbours (Å) after each atom.
Space group P4mm (No. 99)
One atom of each set of equivalent atoms:
Ba  0.0000  0.0000  0.0000 (multiplicity 1)  4 Zr 3.67, 4 Ba 3.69
Ca  0.0000  0.0000  0.5614 (multiplicity 1)  4 Zr 3.47, 4 Ca 3.69
Ca  0.5000  0.5000  0.2976 (multiplicity 1)  8 Ca 3.69-3.93
Zr  0.5000  0.5000  0.7674 (multiplicity 1)  4 Ca 3.47, 4 Ba 3.67, 4 Zr 3.69

=====

[4]
VASP calculation (PBE-GGA) on a relaxed structure of FeS.

N(E_F): 16.36 states/eV/cell
V: 251.9 Å³ per cell
Total moment: 0.0 μB/f.u.
E_form (uncorrected): -0.254 eV per atom

Unit cell a=5.4880 b=6.7711 c=6.7783 alpha=90.00 beta=90.00 gamma=90.00
With the nearest neighbours (Å) after each atom.
Space group P2_12_12_1 (No. 19)
One atom of each set of equivalent atoms:
Fe  0.0497  0.1876  0.3699 (multiplicity 4)  4 S 2.14-2.21
Fe  0.1636  0.5121  0.8300 (multiplicity 4)  4 S 2.14-2.22
S  0.0490  0.8237  0.8564 (multiplicity 4)  4 Fe 2.14-2.21
S  0.0565  0.3842  0.1188 (multiplicity 4)  4 Fe 2.14-2.22

=====

[5]
VASP calculation (PBE-GGA) on a relaxed structure of AcMg2GeN4.

N(E_F): 8.26 states/eV/cell
V: 239.3 Å³ per cell
Total moment: 1.0 μB/f.u.
E_form (uncorrected): -0.567 eV per atom

Unit cell a=7.3611 b=5.8454 c=5.5612 alpha=90.00 beta=90.00 gamma=90.00
With the nearest neighbours (Å) after each atom.
Space group Pmn2_1 (No. 31)
One atom of each set of equivalent atoms:
Ac  0.0000  0.1768  0.0000 (multiplicity 2)  4 N 2.46-2.65
Mg  0.2487  0.3315  0.5152 (multiplicity 4)  4 N 2.10-2.17
Ge  0.0000  0.8097  0.5299 (multiplicity 2)  4 N 1.88-1.92
N  0.0000  0.1346  0.4753 (multiplicity 2)  1 Ge 1.92
N  0.0000  0.7696  0.8652 (multiplicity 2)  1 Ge 1.88
N  0.2014  0.6656  0.3890 (multiplicity 4)  1 Ge 1.88

=====

[6]
VASP calculation (PBE-GGA) on a relaxed structure of Al2FeRe.

N(E_F): 6.22 states/eV/cell
V: 111.3 Å³ per cell
Total moment: 2.2 μB/f.u.
Energy of formation from the pure elements: -136 meV/atom
ΔE to the lowest computed polymorph: 43.2 meV per atom

Unit cell a=5.4805 b=7.5206 c=2.7012 alpha=90.00 beta=90.00 gamma=90.00
With the nearest neighbours (Å) after each atom.
Space group Cmmm (No. 65)
One atom of each set of equivalent atoms:
Al  0.2500  0.2500  0.0000 (multiplicity 4)  4 Fe 2.69, 4 Re 2.69, 4 Al 2.70-2.74
Fe  0.0000  0.0000  0.5000 (multiplicity 2)  8 Al 2.69, 2 Fe 2.70, 2 Re 2.74
Re  0.0000  0.5000  0.5000 (multiplicity 2)  8 Al 2.69, 2 Re 2.70, 2 Fe 2.74

=====

[7]
VASP calculation (PBE-GGA) on a relaxed structure of IrS2.

N(E_F): 2.04 states/eV/cell
V: 208.4 Å³ per cell
Total moment: 0.0 μB/f.u.
E_form (uncorrected): -0.352 eV per atom

Unit cell a=11.8336 b=3.6077 c=4.8815 alpha=90.00 beta=90.00 gamma=90.00
With the nearest neighbours (Å) after each atom.
Space group Pnma (No. 62)
One atom of each set of equivalent atoms:
Ir  0.1354  0.2500  0.0312 (multiplicity 4)  6 S 2.33-2.42
S  0.0532  0.7500  0.7758 (multiplicity 4)  3 Ir 2.40-2.42
S  0.1914  0.7500  0.3065 (multiplicity 4)  3 Ir 2.33-2.34

=====

[8]
VASP calculation (PBE-GGA) on a relaxed structure of Ce2PrDyP4.

N(E_F): 9.40 states/eV/cell
V: 194.4 Å³ per cell
Total moment: 1.0 μB/f.u.
Energy of formation from the pure elements: -1531 meV/atom

Unit cell a=7.0893 b=4.0975 c=7.0996 alpha=90.00 beta=109.48 gamma=90.00
With the nearest neighbours (Å) after each atom.
Space group P2/m (No. 10)
One atom of each set of equivalent atoms:
Ce  0.0000  0.0000  0.0000 (multiplicity 1)  6 P 2.86
Ce  0.0000  0.5000  0.5000 (multiplicity 1)  6 P 2.91
Pr  0.5000  0.0000  0.5000 (multiplicity 1)  6 P 2.94
Dy  0.5000  0.5000  0.0000 (multiplicity 1)  6 P 2.88
P  0.2441  0.5000  0.2419 (multiplicity 2)  3 Ce 2.86-2.91, 1 Dy 2.88, 2 Pr 2.94
P  0.2487  0.0000  0.7555 (multiplicity 2)  3 Ce 2.86-2.91, 2 Dy 2.88, 1 Pr 2.94

=====

What did the seventh record say?
VASP calculation (PBE-GGA) on a relaxed structure of IrS2.

N(E_F): 2.04 states/eV/cell
V: 208.4 Å³ per cell
Total moment: 0.0 μB/f.u.
E_form (uncorrected): -0.352 eV per atom

Unit cell a=11.8336 b=3.6077 c=4.8815 alpha=90.00 beta=90.00 gamma=90.00
With the nearest neighbours (Å) after each atom.
Space group Pnma (No. 62)
One atom of each set of equivalent atoms:
Ir  0.1354  0.2500  0.0312 (multiplicity 4)  6 S 2.33-2.42
S  0.0532  0.7500  0.7758 (multiplicity 4)  3 Ir 2.40-2.42
S  0.1914  0.7500  0.3065 (multiplicity 4)  3 Ir 2.33-2.34

=====

Which of these has the lowest N(E_F)?
IrS2